# 1
This record from OQMD describes a relaxed PmTaIr crystal. The functional is GGA-PBE.

```
PmTaIr
1.0
-4.1889 -0.3660 -1.9864
-3.7403 -0.9058 2.6107
-3.2016 3.2995 0.6998
Ir Pm Ta
1 1 1
Cartesian
0.0000 0.0000 0.0000
-8.3481 1.5208 0.9931
-2.7827 0.5069 0.3310
```

Summary:
formation enthalpy at 0 K = 0.05 eV/atom
symmetry = F-43m (216)

***

# 2
This record from OQMD describes a relaxed DyHgIr crystal. The functional is GGA-PBE.

```
DyHgIr
1.0
-3.9174 2.4586 0.6748
-3.2544 -1.5581 2.9710
-0.7051 2.2048 4.0605
Dy Hg Ir
1 1 1
Cartesian
-5.9076 2.3290 5.7798
-1.9692 0.7763 1.9266
0.0000 0.0000 0.0000
```

Summary:
formation enthalpy at 0 K = -0.38 eV/atom
symmetry = F-43m (216)

***

# 3
This record from OQMD describes a relaxed Co7Re8 crystal. The functional is GGA-PBE.

```
Co7Re8
1.0
9.2071 0.0000 0.0000
0.0000 9.2071 0.0000
0.0000 0.0000 4.6964
Co Re
14 16
Cartesian
0.0000 0.0000 0.0000
3.7810 3.7810 0.0000
5.4262 5.4262 0.0000
6.2657 2.9414 1.1719
2.9414 6.2657 1.1719
1.6621 1.6621 1.1763
7.5450 7.5450 1.1763
8.3845 0.8226 2.3482
4.6036 4.6036 2.3482
0.8226 8.3845 2.3482
1.6621 1.6621 3.5201
7.5450 7.5450 3.5201
6.2657 2.9414 3.5245
2.9414 6.2657 3.5245
6.8619 0.5783 0.0000
4.3114 1.2764 0.0000
8.6288 2.3452 0.0000
1.2764 4.3114 0.0000
7.9307 4.8957 0.0000
0.5783 6.8619 0.0000
4.8957 7.9307 0.0000
2.3452 8.6288 0.0000
5.8799 0.2921 2.3482
4.0252 2.2583 2.3482
8.9150 3.3272 2.3482
2.2583 4.0252 2.3482
6.9488 5.1819 2.3482
0.2921 5.8799 2.3482
5.1819 6.9488 2.3482
3.3272 8.9150 2.3482
```

Summary:
formation enthalpy at 0 K = 0.17 eV/atom
distance to the lowest polymorph of the same formula = 0.066 eV/atom
symmetry = P4_2/mnm (136)

***

# 4
This record from OQMD describes a relaxed HgGeSO crystal. The functional is GGA-PBE.

```
HgGeSO
1.0
-1.6255 -0.7713 -3.7182
-3.6229 -0.8970 1.7699
-2.5941 9.0220 -0.7374
Ge Hg O S
2 2 2 2
Cartesian
-4.2907 -0.0185 -1.5620
-3.5518 7.3722 -1.1237
-2.3580 3.2205 -0.7844
-5.4845 4.1331 -1.9013
-3.4219 3.7083 -2.7149
-4.4206 3.6454 0.0292
-1.6150 0.6364 -0.5732
-6.2275 6.7172 -2.1125
```

Summary:
distance to the lowest polymorph of the same formula = 0.674 eV/atom
symmetry = P4/nmm (129)

***

# 5
This record from OQMD describes a relaxed NbPdPt2 crystal. The functional is GGA-PBE.

```
NbPdPt2
1.0
0.0000 3.1835 3.1835
3.1835 0.0000 3.1835
3.1835 3.1835 0.0000
Nb Pd Pt
1 1 2
Cartesian
0.0000 0.0000 0.0000
4.7752 4.7752 4.7752
1.5918 1.5918 1.5918
3.1835 3.1835 3.1835
```

Summary:
formation enthalpy at 0 K = -0.34 eV/atom
symmetry = F-43m (216)

***

# 6
This record from OQMD describes a relaxed LiNdTe4Au3 crystal. The functional is GGA-PBE.

```
LiNdTe4Au3
1.0
-4.7842 -4.2981 -1.1580
4.4497 -4.5713 -1.4167
0.1218 -1.8257 6.2734
Au Li Nd Te
3 1 1 4
Cartesian
-0.1673 -4.4347 -1.2873
-2.3312 -3.0619 2.5577
2.2857 -3.1985 2.4284
0.0000 0.0000 0.0000
-0.1064 -5.3476 1.8494
-0.0505 -2.5368 0.8773
-0.2263 -7.1987 -0.4760
-2.5012 -5.7555 3.5661
2.3524 -5.8991 3.4301
```

Summary:
total energy = -3.75 eV/atom
symmetry = P-43m (215)

***

# 7
This record from OQMD describes a relaxed NdGaSnPd2 crystal. The functional is GGA-PBE.

```
NdGaSnPd2
1.0
4.5242 0.0000 0.0000
0.0000 4.5242 0.0000
0.0000 0.0000 10.3295
Ga Nd Pd Sn
2 2 4 2
Cartesian
0.0000 0.0000 5.1647
2.2621 2.2621 5.1647
0.0000 2.2621 2.6454
2.2621 0.0000 7.6840
0.0000 0.0000 0.0000
2.2621 2.2621 0.0000
2.2621 0.0000 4.0278
0.0000 2.2621 6.3017
2.2621 0.0000 1.4295
0.0000 2.2621 8.9000
```

Summary:
total energy = -5.22 eV/atom
symmetry = P4/nmm (129)

***

# 8
This record from OQMD describes a relaxed Cu2Ag crystal. The functional is GGA-PBE.

```
Cu2Ag
1.0
4.4208 -1.3726 0.0000
4.4208 1.3726 0.0000
-3.0696 0.0000 6.9062
Ag Cu
2 4
Cartesian
4.8980 0.0000 2.2251
0.8740 0.0000 4.6811
0.0000 0.0000 0.0000
2.4966 0.0000 1.0473
-1.5348 0.0000 3.4531
3.2753 0.0000 5.8589
```

Summary:
formation enthalpy at 0 K = 0.10 eV/atom
distance to the lowest polymorph of the same formula = 0.055 eV/atom
symmetry = C2/m (12)